Record 1
VASP calculation (GGA-PBE) on an optimized crystal structure of ScTeAuI2.

E above lowest polymorph: 0.0 kJ/mol of atoms
Symmetry: No. 123
Formation energy from raw total energies: -0.167 eV/atom

a b c (Å): 5.556 5.556 5.843
angles (deg): 90.00 90.00 90.00
Element x y z (fractional)
Te: 0.000 0.000 0.500
I: 0.000 0.500 0.000
I: 0.500 0.000 0.000
Sc: 0.000 0.000 0.000
Au: 0.500 0.500 0.500

Record 2
VASP calculation (GGA-PBE) on an optimized crystal structure of NaNi2Mo2.

E_form: 0.297 eV/atom
Symmetry: No. 127

a b c (Å): 7.724 7.724 2.567
angles (deg): 90.00 90.00 90.00
Element x y z (fractional)
Mo: 0.379 0.879 0.000
Mo: 0.879 0.621 0.000
Mo: 0.121 0.379 0.000
Mo: 0.621 0.121 0.000
Na: 0.500 0.500 0.000
Na: 0.000 0.000 0.000
Ni: 0.829 0.329 0.500
Ni: 0.171 0.671 0.500
Ni: 0.329 0.171 0.500
Ni: 0.671 0.829 0.500

Record 3
VASP calculation (GGA-PBE) on an optimized crystal structure of RbPuSn4.

E_form: -0.074 eV/atom
Symmetry: No. 216

a b c (Å): 6.332 6.332 6.332
angles (deg): 60.00 60.00 60.00
Element x y z (fractional)
Pu: 0.000 0.000 0.000
Sn: 0.626 0.626 0.626
Sn: 0.626 0.626 0.122
Sn: 0.626 0.122 0.626
Sn: 0.122 0.626 0.626
Rb: 0.250 0.250 0.250

Record 4
VASP calculation (GGA-PBE) on an optimized crystal structure of Pr12CoBi6.

E_form: -0.482 eV/atom
Symmetry: No. 148

a b c (Å): 8.979 8.979 8.979
angles (deg): 99.19 99.19 99.19
Element x y z (fractional)
Pr: 0.947 0.004 0.692
Pr: 0.580 0.448 0.804
Pr: 0.448 0.804 0.580
Pr: 0.804 0.580 0.448
Pr: 0.692 0.947 0.004
Pr: 0.552 0.196 0.420
Pr: 0.196 0.420 0.552
Pr: 0.004 0.692 0.947
Pr: 0.308 0.053 0.996
Pr: 0.053 0.996 0.308
Pr: 0.420 0.552 0.196
Pr: 0.996 0.308 0.053
Bi: 0.648 0.313 0.121
Bi: 0.879 0.352 0.687
Bi: 0.121 0.648 0.313
Bi: 0.352 0.687 0.879
Bi: 0.313 0.121 0.648
Bi: 0.687 0.879 0.352
Co: 0.000 0.000 0.000

Energy
In order: -3.34 -6.61 -5.29 -5.10
Unit: eV/atom